Record 1
The following is a GGA-PBE calculation of a relaxed CsFeAu crystal, from OQMD.

Computed properties:
total magnetic moment = 3.6 μB/f.u.
calculated total energy = -3.13 eV per atom

The structure in POSCAR format:
```
CsFeAu
1.0
0.0000 3.7805 3.7805
3.7805 0.0000 3.7805
3.7805 3.7805 0.0000
Cs Fe Au
1 1 1
Direct
0.0000 0.0000 0.0000
0.5000 0.5000 0.5000
0.2500 0.2500 0.2500
```

Record 2
The following is a GGA-PBE calculation of a relaxed CsFeTe3Au crystal, from OQMD.

Computed properties:
total magnetic moment = 3.2 μB/f.u.
calculated total energy = -3.84 eV per atom

The structure in POSCAR format:
```
CsFeTe3Au
1.0
1.9647 -8.8667 0.0000
1.9647 8.8667 0.0000
0.0000 0.0000 10.9197
Cs Fe Te Au
2 2 6 2
Direct
0.2397 0.7603 0.7500
0.7603 0.2397 0.2500
0.0000 0.0000 0.0000
0.0000 0.0000 0.5000
0.0605 0.9395 0.2500
0.3931 0.6069 0.0195
0.3931 0.6069 0.4805
0.6069 0.3931 0.5195
0.6069 0.3931 0.9805
0.9395 0.0605 0.7500
0.4463 0.5537 0.2500
0.5537 0.4463 0.7500
```

Record 3
The following is a GGA-PBE calculation of a relaxed CsGdAuSe3 crystal, from OQMD.

Computed properties:
total magnetic moment = 0.0 μB/f.u.
calculated total energy = -4.34 eV per atom

The structure in POSCAR format:
```
CsGdAuSe3
1.0
2.0657 -8.1452 0.0000
2.0657 8.1452 0.0000
0.0000 0.0000 10.8126
Cs Gd Au Se
2 2 2 6
Direct
0.2493 0.7507 0.7500
0.7507 0.2493 0.2500
0.5000 0.5000 0.0000
0.5000 0.5000 0.5000
0.0355 0.9645 0.2500
0.9645 0.0355 0.7500
0.1219 0.8781 0.0487
0.1219 0.8781 0.4513
0.4333 0.5667 0.2500
0.5667 0.4333 0.7500
0.8781 0.1219 0.5487
0.8781 0.1219 0.9513
```

Record 4
The following is a GGA-PBE calculation of a relaxed CsGeAu3 crystal, from OQMD.

Computed properties:
calculated total energy = -3.32 eV per atom

The structure in POSCAR format:
```
CsGeAu3
1.0
7.0022 0.0000 0.0000
-2.9077 6.3700 0.0000
-3.4344 -2.2482 6.5355
Cs Ge Au
2 2 6
Direct
0.1684 0.3265 0.4966
0.8316 0.6735 0.5034
0.2854 0.8371 0.1242
0.7146 0.1629 0.8758
0.0000 0.0000 0.0000
0.1971 0.4389 0.0045
0.4361 0.1929 0.9972
0.5000 0.0000 0.5000
0.5639 0.8071 0.0028
0.8029 0.5611 0.9955
```

Record 5
The following is a GGA-PBE calculation of a relaxed CsGe5Au3 crystal, from OQMD.

Computed properties:
calculated total energy = -3.59 eV per atom

The structure in POSCAR format:
```
CsGe5Au3
1.0
5.7938 0.0000 0.0000
-2.8969 5.0176 0.0000
0.0000 0.0000 8.0882
Cs Ge Au
1 5 3
Direct
0.0000 0.0000 0.0000
0.0000 0.0000 0.5000
0.3333 0.6667 0.2361
0.3333 0.6667 0.7639
0.6667 0.3333 0.2361
0.6667 0.3333 0.7639
0.0000 0.5000 0.5000
0.5000 0.0000 0.5000
0.5000 0.5000 0.5000
```

Record 6
The following is a GGA-PBE calculation of a relaxed CsGeAu2 crystal, from OQMD.

Computed properties:
calculated total energy = -3.28 eV per atom

The structure in POSCAR format:
```
CsGeAu2
1.0
8.5973 0.0000 0.0000
0.0000 4.7063 0.0000
0.0000 0.0000 12.2521
Cs Ge Au
4 4 8
Direct
0.1416 0.2500 0.1116
0.3584 0.7500 0.6116
0.6416 0.2500 0.3884
0.8584 0.7500 0.8884
0.0788 0.7500 0.3552
0.4212 0.2500 0.8552
0.5788 0.7500 0.1448
0.9212 0.2500 0.6448
0.0477 0.2500 0.4400
0.1476 0.2500 0.7777
0.3524 0.7500 0.2777
0.4523 0.7500 0.9400
0.5477 0.2500 0.0600
0.6476 0.2500 0.7223
0.8524 0.7500 0.2223
0.9523 0.7500 0.5601
```

Record 7
The following is a GGA-PBE calculation of a relaxed Cs2K2Ge2Au7 crystal, from OQMD.

Computed properties:
energy above the lowest structure with this stoichiometry = 0.0054 eV/atom
calculated total energy = -3.12 eV per atom

The structure in POSCAR format:
```
Cs2K2Ge2Au7
1.0
3.3710 1.9462 9.4712
-3.3710 1.9462 9.4712
0.0000 -3.8924 9.4712
Cs K Ge Au
2 2 2 7
Direct
0.1842 0.1842 0.1842
0.8158 0.8158 0.8158
0.3107 0.3107 0.3107
0.6893 0.6893 0.6893
0.0456 0.0456 0.0456
0.9544 0.9544 0.9544
0.2764 0.2764 0.6951
0.2764 0.6951 0.2764
0.3049 0.7236 0.7236
0.5000 0.5000 0.5000
0.6951 0.2764 0.2764
0.7236 0.3049 0.7236
0.7236 0.7236 0.3049
```

Record 8
The following is a GGA-PBE calculation of a relaxed Cs2K2Ge2Au7 crystal, from OQMD.

Computed properties:
energy above the lowest structure with this stoichiometry = 0.0000 eV/atom
calculated total energy = -3.12 eV per atom

The structure in POSCAR format:
```
Cs2K2Ge2Au7
1.0
3.3325 1.9240 9.6927
-3.3325 1.9240 9.6927
0.0000 -3.8480 9.6927
Cs K Ge Au
2 2 2 7
Direct
0.1893 0.1893 0.1893
0.8107 0.8107 0.8107
0.3174 0.3174 0.3174
0.6826 0.6826 0.6826
0.4531 0.4531 0.4531
0.5469 0.5469 0.5469
0.0000 0.0000 0.0000
0.2110 0.7783 0.7783
0.2217 0.2217 0.7890
0.2217 0.7890 0.2217
0.7783 0.2110 0.7783
0.7783 0.7783 0.2110
0.7890 0.2217 0.2217
```

Record 9
The following is a GGA-PBE calculation of a relaxed CsGeAu3O4 crystal, from OQMD.

Computed properties:
calculated total energy = -4.32 eV per atom

The structure in POSCAR format:
```
CsGeAu3O4
1.0
5.8347 0.0000 0.0000
0.0000 5.8347 0.0000
0.0000 0.0000 5.8347
Cs Ge Au O
1 1 3 4
Direct
0.0000 0.0000 0.0000
0.5000 0.5000 0.5000
0.0000 0.5000 0.5000
0.5000 0.0000 0.5000
0.5000 0.5000 0.0000
0.3223 0.3223 0.3223
0.3223 0.6777 0.6777
0.6777 0.3223 0.6777
0.6777 0.6777 0.3223
```

Record 10
The following is a GGA-PBE calculation of a relaxed CsGeAuS3 crystal, from OQMD.

Computed properties:
calculated total energy = -3.83 eV per atom

The structure in POSCAR format:
```
CsGeAuS3
1.0
1.8415 -8.7045 0.0000
1.8415 8.7045 0.0000
0.0000 0.0000 9.9199
Cs Ge Au S
2 2 2 6
Direct
0.2163 0.7837 0.7500
0.7837 0.2163 0.2500
0.5000 0.5000 0.0000
0.5000 0.5000 0.5000
0.1066 0.8934 0.2500
0.8934 0.1066 0.7500
0.0993 0.9007 0.0190
0.0993 0.9007 0.4810
0.4600 0.5400 0.2500
0.5400 0.4600 0.7500
0.9007 0.0993 0.5190
0.9007 0.0993 0.9810
```

Record 11
The following is a GGA-PBE calculation of a relaxed CsGeAu3S4 crystal, from OQMD.

Computed properties:
energy above the lowest structure with this stoichiometry = 0.1434 eV/atom
calculated total energy = -3.70 eV per atom

The structure in POSCAR format:
```
CsGeAu3S4
1.0
6.4260 0.0000 0.0000
0.0000 6.4260 0.0000
0.0000 0.0000 6.4260
Cs Ge Au S
1 1 3 4
Direct
0.0000 0.0000 0.0000
0.5000 0.5000 0.5000
0.0000 0.5000 0.5000
0.5000 0.0000 0.5000
0.5000 0.5000 0.0000
0.2995 0.2995 0.2995
0.2995 0.7005 0.7005
0.7005 0.2995 0.7005
0.7005 0.7005 0.2995
```

Record 12
The following is a GGA-PBE calculation of a relaxed CsGeAu3S4 crystal, from OQMD.

Computed properties:
energy above the lowest structure with this stoichiometry = 0.0000 eV/atom
calculated total energy = -3.84 eV per atom

The structure in POSCAR format:
```
CsGeAu3S4
1.0
6.1284 0.0000 0.0000
0.0000 7.7125 0.0000
-1.8325 0.0000 10.6529
Cs Ge Au S
2 2 6 8
Direct
0.2022 0.2500 0.3487
0.7978 0.7500 0.6513
0.0965 0.2500 0.7835
0.9035 0.7500 0.2165
0.3631 0.5630 0.0852
0.3631 0.9370 0.0852
0.4658 0.7500 0.3300
0.5342 0.2500 0.6700
0.6369 0.0630 0.9148
0.6369 0.4370 0.9148
0.0430 0.7500 0.0298
0.1280 0.7500 0.4023
0.3019 0.0058 0.7738
0.3019 0.4942 0.7738
0.6981 0.5058 0.2262
0.6981 0.9942 0.2262
0.8720 0.2500 0.5977
0.9570 0.2500 0.9702
```

Which formula does entry 11 have? CsGeAu3S4

What did the twelfth record say?
The following is a GGA-PBE calculation of a relaxed CsGeAu3S4 crystal, from OQMD.

Computed properties:
energy above the lowest structure with this stoichiometry = 0.0000 eV/atom
calculated total energy = -3.84 eV per atom

The structure in POSCAR format:
```
CsGeAu3S4
1.0
6.1284 0.0000 0.0000
0.0000 7.7125 0.0000
-1.8325 0.0000 10.6529
Cs Ge Au S
2 2 6 8
Direct
0.2022 0.2500 0.3487
0.7978 0.7500 0.6513
0.0965 0.2500 0.7835
0.9035 0.7500 0.2165
0.3631 0.5630 0.0852
0.3631 0.9370 0.0852
0.4658 0.7500 0.3300
0.5342 0.2500 0.6700
0.6369 0.0630 0.9148
0.6369 0.4370 0.9148
0.0430 0.7500 0.0298
0.1280 0.7500 0.4023
0.3019 0.0058 0.7738
0.3019 0.4942 0.7738
0.6981 0.5058 0.2262
0.6981 0.9942 0.2262
0.8720 0.2500 0.5977
0.9570 0.2500 0.9702
```

Repeat the second record exactly.
The following is a GGA-PBE calculation of a relaxed CsFeTe3Au crystal, from OQMD.

Computed properties:
total magnetic moment = 3.2 μB/f.u.
calculated total energy = -3.84 eV per atom

The structure in POSCAR format:
```
CsFeTe3Au
1.0
1.9647 -8.8667 0.0000
1.9647 8.8667 0.0000
0.0000 0.0000 10.9197
Cs Fe Te Au
2 2 6 2
Direct
0.2397 0.7603 0.7500
0.7603 0.2397 0.2500
0.0000 0.0000 0.0000
0.0000 0.0000 0.5000
0.0605 0.9395 0.2500
0.3931 0.6069 0.0195
0.3931 0.6069 0.4805
0.6069 0.3931 0.5195
0.6069 0.3931 0.9805
0.9395 0.0605 0.7500
0.4463 0.5537 0.2500
0.5537 0.4463 0.7500
```